#a
Density functional theory data (PBE-GGA) for a relaxed structure of Hf3Mg.

Cell and atoms, written as CIF:
```
data_Hf3Mg
_cell_length_a 9.5672
_cell_length_b 8.3933
_cell_length_c 4.4251
_cell_angle_alpha 90.00
_cell_angle_beta 90.00
_cell_angle_gamma 90.00
_symmetry_space_group_name_H-M 'C m c m'
_symmetry_Int_Tables_number 63
_symmetry_space_group_name_Hall '-C 2c 2'
loop_
_atom_site_label
_atom_site_type_symbol
_atom_site_fract_x
_atom_site_fract_y
_atom_site_fract_z
Hf1 Hf 0.0000 0.1336 0.2500
Hf2 Hf 0.2287 0.1274 0.7500
Mg1 Mg 0.0000 0.3916 0.7500
```

***

#b
Density functional theory data (PBE-GGA) for a relaxed structure of Hf3Mg.

Cell and atoms, written as CIF:
```
data_Hf3Mg
_cell_length_a 4.3976
_cell_length_b 4.3976
_cell_length_c 9.0065
_cell_angle_alpha 90.00
_cell_angle_beta 90.00
_cell_angle_gamma 90.00
_symmetry_space_group_name_H-M 'I 4/m m m'
_symmetry_Int_Tables_number 139
_symmetry_space_group_name_Hall '-I 4 2'
loop_
_atom_site_label
_atom_site_type_symbol
_atom_site_fract_x
_atom_site_fract_y
_atom_site_fract_z
Hf1 Hf 0.0000 0.0000 0.0000
Hf2 Hf 0.0000 0.5000 0.2500
Mg1 Mg 0.0000 0.0000 0.5000
```

***

Short version: #b is the most stable of them.

***

#a
Density functional theory data (PBE-GGA) for a relaxed structure of Hf3Mg.

Cell and atoms, written as CIF:
```
data_Hf3Mg
_cell_length_a 3.1293
_cell_length_b 10.1752
_cell_length_c 5.5394
_cell_angle_alpha 90.00
_cell_angle_beta 90.00
_cell_angle_gamma 90.00
_symmetry_space_group_name_H-M 'I m m 2'
_symmetry_Int_Tables_number 44
_symmetry_space_group_name_Hall 'I 2 -2'
loop_
_atom_site_label
_atom_site_type_symbol
_atom_site_fract_x
_atom_site_fract_y
_atom_site_fract_z
Hf1 Hf 0.0000 0.0000 0.0000
Hf2 Hf 0.0000 0.2480 0.6539
Mg1 Mg 0.0000 0.5000 0.9816
```

***

#b
Density functional theory data (PBE-GGA) for a relaxed structure of Hf3Mg.

Cell and atoms, written as CIF:
```
data_Hf3Mg
_cell_length_a 6.3023
_cell_length_b 6.3023
_cell_length_c 5.0618
_cell_angle_alpha 90.00
_cell_angle_beta 90.00
_cell_angle_gamma 120.00
_symmetry_space_group_name_H-M 'P 63/m m c'
_symmetry_Int_Tables_number 194
_symmetry_space_group_name_Hall '-P 6c 2c'
loop_
_atom_site_label
_atom_site_type_symbol
_atom_site_fract_x
_atom_site_fract_y
_atom_site_fract_z
Hf1 Hf 0.1679 0.3357 0.2500
Mg1 Mg 0.3333 0.6667 0.7500
```

***

Short version: #a is the most stable of them.

***

#a
Density functional theory data (PBE-GGA) for a relaxed structure of HfMg4.

Cell and atoms, written as CIF:
```
data_HfMg4
_cell_length_a 5.5839
_cell_length_b 5.5839
_cell_length_c 5.5839
_cell_angle_alpha 90.00
_cell_angle_beta 90.00
_cell_angle_gamma 90.00
_symmetry_space_group_name_H-M 'P m -3 m'
_symmetry_Int_Tables_number 221
_symmetry_space_group_name_Hall '-P 4 2 3'
loop_
_atom_site_label
_atom_site_type_symbol
_atom_site_fract_x
_atom_site_fract_y
_atom_site_fract_z
Hf1 Hf 0.0000 0.0000 0.0000
Mg1 Mg 0.0000 0.0000 0.5000
Mg2 Mg 0.5000 0.5000 0.5000
```

***

#b
Density functional theory data (PBE-GGA) for a relaxed structure of HfMg4.

Cell and atoms, written as CIF:
```
data_HfMg4
_cell_length_a 3.1725
_cell_length_b 3.1725
_cell_length_c 22.0596
_cell_angle_alpha 90.00
_cell_angle_beta 90.00
_cell_angle_gamma 90.00
_symmetry_space_group_name_H-M 'I 4/m m m'
_symmetry_Int_Tables_number 139
_symmetry_space_group_name_Hall '-I 4 2'
loop_
_atom_site_label
_atom_site_type_symbol
_atom_site_fract_x
_atom_site_fract_y
_atom_site_fract_z
Hf1 Hf 0.0000 0.0000 0.0000
Mg1 Mg 0.0000 0.0000 0.1998
Mg2 Mg 0.0000 0.0000 0.4012
```

***

Short version: #b is the most stable of them.

***

#a
Density functional theory data (PBE-GGA) for a relaxed structure of Hf5Mg.

Cell and atoms, written as CIF:
```
data_Hf5Mg
_cell_length_a 10.1402
_cell_length_b 4.3608
_cell_length_c 6.3822
_cell_angle_alpha 90.00
_cell_angle_beta 109.67
_cell_angle_gamma 90.00
_symmetry_space_group_name_H-M 'C 1 2/m 1'
_symmetry_Int_Tables_number 12
_symmetry_space_group_name_Hall '-C 2y'
loop_
_atom_site_label
_atom_site_type_symbol
_atom_site_fract_x
_atom_site_fract_y
_atom_site_fract_z
Hf1 Hf 0.0000 0.0000 0.0000
Hf2 Hf 0.1658 0.5000 0.8365
Hf3 Hf 0.1714 0.5000 0.3306
Mg1 Mg 0.0000 0.0000 0.5000
```

***

#b
Density functional theory data (PBE-GGA) for a relaxed structure of Hf5Mg.

Cell and atoms, written as CIF:
```
data_Hf5Mg
_cell_length_a 4.4838
_cell_length_b 13.2768
_cell_length_c 4.4572
_cell_angle_alpha 90.00
_cell_angle_beta 90.00
_cell_angle_gamma 90.00
_symmetry_space_group_name_H-M 'C m m m'
_symmetry_Int_Tables_number 65
_symmetry_space_group_name_Hall '-C 2 2'
loop_
_atom_site_label
_atom_site_type_symbol
_atom_site_fract_x
_atom_site_fract_y
_atom_site_fract_z
Hf1 Hf 0.0000 0.0000 0.0000
Hf2 Hf 0.0000 0.1686 0.5000
Hf3 Hf 0.0000 0.3326 0.0000
Mg1 Mg 0.0000 0.5000 0.5000
```

***

Short version: #b is the most stable of them.

***

#a
Density functional theory data (PBE-GGA) for a relaxed structure of HfMg6Mn.

Cell and atoms, written as CIF:
```
data_HfMg6Mn
_cell_length_a 4.9007
_cell_length_b 6.1609
_cell_length_c 11.1739
_cell_angle_alpha 90.00
_cell_angle_beta 90.00
_cell_angle_gamma 90.00
_symmetry_space_group_name_H-M 'A m m 2'
_symmetry_Int_Tables_number 38
_symmetry_space_group_name_Hall 'A 2 -2'
loop_
_atom_site_label
_atom_site_type_symbol
_atom_site_fract_x
_atom_site_fract_y
_atom_site_fract_z
Hf1 Hf 0.0000 0.0000 0.0000
Mg1 Mg 0.0000 0.0000 0.4774
Mg2 Mg 0.0000 0.2440 0.2349
Mg3 Mg 0.5000 0.0000 0.6362
Mg4 Mg 0.5000 0.2432 0.8886
Mn1 Mn 0.5000 0.0000 0.1199
```

***

#b
Density functional theory data (PBE-GGA) for a relaxed structure of HfMg6Mn.

Cell and atoms, written as CIF:
```
data_HfMg6Mn
_cell_length_a 4.9841
_cell_length_b 6.0344
_cell_length_c 11.2469
_cell_angle_alpha 90.00
_cell_angle_beta 90.00
_cell_angle_gamma 90.00
_symmetry_space_group_name_H-M 'A m m 2'
_symmetry_Int_Tables_number 38
_symmetry_space_group_name_Hall 'A 2 -2'
loop_
_atom_site_label
_atom_site_type_symbol
_atom_site_fract_x
_atom_site_fract_y
_atom_site_fract_z
Hf1 Hf 0.0000 0.0000 0.0000
Mg1 Mg 0.0000 0.2503 0.2465
Mg2 Mg 0.5000 0.0000 0.1546
Mg3 Mg 0.5000 0.0000 0.6366
Mg4 Mg 0.5000 0.2491 0.9055
Mn1 Mn 0.0000 0.0000 0.4832
```

***

Short version: #a is the most stable of them.

***

#a
Density functional theory data (PBE-GGA) for a relaxed structure of HfMg2Mn.

Cell and atoms, written as CIF:
```
data_HfMg2Mn
_cell_length_a 6.5688
_cell_length_b 6.5688
_cell_length_c 6.5688
_cell_angle_alpha 90.00
_cell_angle_beta 90.00
_cell_angle_gamma 90.00
_symmetry_space_group_name_H-M 'F m -3 m'
_symmetry_Int_Tables_number 225
_symmetry_space_group_name_Hall '-F 4 2 3'
loop_
_atom_site_label
_atom_site_type_symbol
_atom_site_fract_x
_atom_site_fract_y
_atom_site_fract_z
Hf1 Hf 0.0000 0.0000 0.0000
Mg1 Mg 0.2500 0.2500 0.2500
Mn1 Mn 0.0000 0.0000 0.5000
```

***

#b
Density functional theory data (PBE-GGA) for a relaxed structure of HfMg2Mn.

Cell and atoms, written as CIF:
```
data_HfMg2Mn
_cell_length_a 3.8107
_cell_length_b 3.8107
_cell_length_c 20.8625
_cell_angle_alpha 90.00
_cell_angle_beta 90.00
_cell_angle_gamma 90.00
_symmetry_space_group_name_H-M 'I -4 2 d'
_symmetry_Int_Tables_number 122
_symmetry_space_group_name_Hall 'I -4 2bw'
loop_
_atom_site_label
_atom_site_type_symbol
_atom_site_fract_x
_atom_site_fract_y
_atom_site_fract_z
Hf1 Hf 0.0000 0.0000 0.0000
Mg1 Mg 0.2368 0.2500 0.6250
Mn1 Mn 0.0000 0.0000 0.5000
```

***

Short version: #a is the most stable of them.